P:
# KGeSb2Te (PBE-GGA, optimized geometry)
# total moment = 0.58 μB/f.u.
data_KGeSb2Te
_chemical_formula_sum 'K1 Ge1 Sb2 Te1'
_space_group_name_H-M_alt 'P 4/m m m'
_space_group_IT_number 123
_space_group_name_Hall '-P 4 2'
_cell_length_a 5.475
_cell_length_b 5.475
_cell_length_c 5.768
_cell_angle_alpha 90.00
_cell_angle_beta 90.00
_cell_angle_gamma 90.00
loop_
_atom_site_label
_atom_site_type_symbol
_atom_site_fract_x
_atom_site_fract_y
_atom_site_fract_z
_atom_site_occupancy
K1 K 0.000 0.000 0.000 1
Ge1 Ge 0.500 0.500 0.500 1
Sb1 Sb 0.000 0.500 0.500 1
Te1 Te 0.500 0.500 0.000 1


Q:
# KGeSb2Te (PBE-GGA, optimized geometry)
# total moment = 0.00 μB/f.u.
data_KGeSb2Te
_chemical_formula_sum 'K1 Ge1 Sb2 Te1'
_space_group_name_H-M_alt 'P 4/m m m'
_space_group_IT_number 123
_space_group_name_Hall '-P 4 2'
_cell_length_a 5.772
_cell_length_b 5.772
_cell_length_c 5.897
_cell_angle_alpha 90.00
_cell_angle_beta 90.00
_cell_angle_gamma 90.00
loop_
_atom_site_label
_atom_site_type_symbol
_atom_site_fract_x
_atom_site_fract_y
_atom_site_fract_z
_atom_site_occupancy
K1 K 0.000 0.000 0.000 1
Ge1 Ge 0.500 0.500 0.500 1
Sb1 Sb 0.000 0.500 0.000 1
Te1 Te 0.000 0.000 0.500 1


Which of them is most stable, and which least? Most stable: P; least stable: Q.


P:
# KScGe2 (PBE-GGA, optimized geometry)
# total moment = 0.00 μB/f.u.
data_KScGe2
_chemical_formula_sum 'K4 Sc4 Ge8'
_space_group_name_H-M_alt 'F m -3 m'
_space_group_IT_number 225
_space_group_name_Hall '-F 4 2 3'
_cell_length_a 7.183
_cell_length_b 7.183
_cell_length_c 7.183
_cell_angle_alpha 90.00
_cell_angle_beta 90.00
_cell_angle_gamma 90.00
loop_
_atom_site_label
_atom_site_type_symbol
_atom_site_fract_x
_atom_site_fract_y
_atom_site_fract_z
_atom_site_occupancy
K1 K 0.000 0.000 0.000 1
Sc1 Sc 0.000 0.000 0.500 1
Ge1 Ge 0.250 0.250 0.250 1


Q:
# KScGe2 (PBE-GGA, optimized geometry)
# total moment = 0.00 μB/f.u.
data_KScGe2
_chemical_formula_sum 'K4 Sc4 Ge8'
_space_group_name_H-M_alt 'I -4 2 d'
_space_group_IT_number 122
_space_group_name_Hall 'I -4 2bw'
_cell_length_a 5.459
_cell_length_b 5.459
_cell_length_c 18.388
_cell_angle_alpha 90.00
_cell_angle_beta 90.00
_cell_angle_gamma 90.00
loop_
_atom_site_label
_atom_site_type_symbol
_atom_site_fract_x
_atom_site_fract_y
_atom_site_fract_z
_atom_site_occupancy
K1 K 0.000 0.000 0.000 1
Sc1 Sc 0.000 0.000 0.500 1
Ge1 Ge 0.028 0.250 0.625 1


Which of them is most stable, and which least? Most stable: P; least stable: Q.


P:
# KSc2Ge2 (PBE-GGA, optimized geometry)
# total moment = 0.12 μB/f.u.
data_KSc2Ge2
_chemical_formula_sum 'K2 Sc4 Ge4'
_space_group_name_H-M_alt 'P 4/m b m'
_space_group_IT_number 127
_space_group_name_Hall '-P 4 2ab'
_cell_length_a 8.455
_cell_length_b 8.455
_cell_length_c 3.109
_cell_angle_alpha 90.00
_cell_angle_beta 90.00
_cell_angle_gamma 90.00
loop_
_atom_site_label
_atom_site_type_symbol
_atom_site_fract_x
_atom_site_fract_y
_atom_site_fract_z
_atom_site_occupancy
K1 K 0.000 0.000 0.000 1
Sc1 Sc 0.132 0.368 0.000 1
Ge1 Ge 0.162 0.662 0.500 1


Q:
# KSc2Ge2 (PBE-GGA, optimized geometry)
# total moment = 0.00 μB/f.u.
data_KSc2Ge2
_chemical_formula_sum 'K2 Sc4 Ge4'
_space_group_name_H-M_alt 'I 4/m m m'
_space_group_IT_number 139
_space_group_name_Hall '-I 4 2'
_cell_length_a 4.816
_cell_length_b 4.816
_cell_length_c 11.515
_cell_angle_alpha 90.00
_cell_angle_beta 90.00
_cell_angle_gamma 90.00
loop_
_atom_site_label
_atom_site_type_symbol
_atom_site_fract_x
_atom_site_fract_y
_atom_site_fract_z
_atom_site_occupancy
K1 K 0.000 0.000 0.000 1
Sc1 Sc 0.000 0.500 0.250 1
Ge1 Ge 0.000 0.000 0.374 1


Which of them is most stable, and which least? Most stable: P; least stable: Q.


P:
# KGeSe (PBE-GGA, optimized geometry)
# total moment = 0.00 μB/f.u.
data_KGeSe
_chemical_formula_sum 'K2 Ge2 Se2'
_space_group_name_H-M_alt 'P -1'
_space_group_IT_number 2
_space_group_name_Hall '-P 1'
_cell_length_a 3.880
_cell_length_b 6.828
_cell_length_c 7.606
_cell_angle_alpha 108.47
_cell_angle_beta 102.71
_cell_angle_gamma 92.46
loop_
_atom_site_label
_atom_site_type_symbol
_atom_site_fract_x
_atom_site_fract_y
_atom_site_fract_z
_atom_site_occupancy
K1 K 0.175 0.162 0.303 1
Ge1 Ge 0.448 0.308 0.911 1
Se1 Se 0.144 0.659 0.306 1


Q:
# KGeSe (PBE-GGA, optimized geometry)
# total moment = 0.00 μB/f.u.
data_KGeSe
_chemical_formula_sum 'K4 Ge4 Se4'
_space_group_name_H-M_alt 'C 1 2/m 1'
_space_group_IT_number 12
_space_group_name_Hall '-C 2y'
_cell_length_a 12.853
_cell_length_b 3.844
_cell_length_c 7.846
_cell_angle_alpha 90.00
_cell_angle_beta 109.97
_cell_angle_gamma 90.00
loop_
_atom_site_label
_atom_site_type_symbol
_atom_site_fract_x
_atom_site_fract_y
_atom_site_fract_z
_atom_site_occupancy
K1 K 0.160 0.000 0.190 1
Ge1 Ge 0.099 0.000 0.607 1
Se1 Se 0.064 0.500 0.800 1


R:
# KGeSe (PBE-GGA, optimized geometry)
# total moment = 0.00 μB/f.u.
data_KGeSe
_chemical_formula_sum 'K2 Ge2 Se2'
_space_group_name_H-M_alt 'P 1 21/m 1'
_space_group_IT_number 11
_space_group_name_Hall '-P 2yb'
_cell_length_a 3.789
_cell_length_b 5.388
_cell_length_c 8.443
_cell_angle_alpha 90.00
_cell_angle_beta 94.59
_cell_angle_gamma 90.00
loop_
_atom_site_label
_atom_site_type_symbol
_atom_site_fract_x
_atom_site_fract_y
_atom_site_fract_z
_atom_site_occupancy
K1 K 0.087 0.250 0.158 1
Ge1 Ge 0.091 0.750 0.443 1
Se1 Se 0.413 0.250 0.778 1


S:
# KGeSe (PBE-GGA, optimized geometry)
# total moment = 0.00 μB/f.u.
data_KGeSe
_chemical_formula_sum 'K4 Ge4 Se4'
_space_group_name_H-M_alt 'C 1 m 1'
_space_group_IT_number 8
_space_group_name_Hall 'C -2y'
_cell_length_a 13.621
_cell_length_b 3.851
_cell_length_c 9.061
_cell_angle_alpha 90.00
_cell_angle_beta 94.14
_cell_angle_gamma 90.00
loop_
_atom_site_label
_atom_site_type_symbol
_atom_site_fract_x
_atom_site_fract_y
_atom_site_fract_z
_atom_site_occupancy
K1 K 0.000 0.000 0.000 1
K2 K 0.232 0.500 0.564 1
Ge1 Ge 0.218 0.500 0.946 1
Ge2 Ge 0.298 0.500 0.207 1
Se1 Se 0.182 0.000 0.268 1
Se2 Se 0.320 0.000 0.841 1


Which of them is most stable, and which least? Most stable: Q; least stable: R.


P:
# KGe2Se4 (PBE-GGA, optimized geometry)
# total moment = 0.00 μB/f.u.
data_KGe2Se4
_chemical_formula_sum 'K8 Ge16 Se32'
_space_group_name_H-M_alt 'P 1 21/c 1'
_space_group_IT_number 14
_space_group_name_Hall '-P 2ybc'
_cell_length_a 8.357
_cell_length_b 12.914
_cell_length_c 17.808
_cell_angle_alpha 90.00
_cell_angle_beta 102.47
_cell_angle_gamma 90.00
loop_
_atom_site_label
_atom_site_type_symbol
_atom_site_fract_x
_atom_site_fract_y
_atom_site_fract_z
_atom_site_occupancy
K1 K 0.183 0.030 0.185 1
K2 K 0.219 0.114 0.558 1
Ge1 Ge 0.020 0.224 0.351 1
Ge2 Ge 0.213 0.698 0.846 1
Ge3 Ge 0.216 0.689 0.507 1
Ge4 Ge 0.496 0.743 0.199 1
Se1 Se 0.040 0.158 0.744 1
Se2 Se 0.041 0.150 0.958 1
Se3 Se 0.210 0.628 0.972 1
Se4 Se 0.218 0.621 0.380 1
Se5 Se 0.230 0.105 0.374 1
Se6 Se 0.236 0.635 0.174 1
Se7 Se 0.441 0.629 0.806 1
Se8 Se 0.444 0.620 0.593 1


Q:
# KGe2Se4 (PBE-GGA, optimized geometry)
# total moment = 0.00 μB/f.u.
data_KGe2Se4
_chemical_formula_sum 'K2 Ge4 Se8'
_space_group_name_H-M_alt 'I 4/m'
_space_group_IT_number 87
_space_group_name_Hall '-I 4'
_cell_length_a 8.384
_cell_length_b 8.384
_cell_length_c 6.259
_cell_angle_alpha 90.00
_cell_angle_beta 90.00
_cell_angle_gamma 90.00
loop_
_atom_site_label
_atom_site_type_symbol
_atom_site_fract_x
_atom_site_fract_y
_atom_site_fract_z
_atom_site_occupancy
K1 K 0.000 0.000 0.000 1
Ge1 Ge 0.000 0.500 0.250 1
Se1 Se 0.141 0.680 0.500 1


Which of them is most stable, and which least? Most stable: P; least stable: Q.


P:
# K2GeSe2 (PBE-GGA, optimized geometry)
# total moment = 0.00 μB/f.u.
data_K2GeSe2
_chemical_formula_sum 'K8 Ge4 Se8'
_space_group_name_H-M_alt 'P 1 21/c 1'
_space_group_IT_number 14
_space_group_name_Hall '-P 2ybc'
_cell_length_a 9.694
_cell_length_b 8.808
_cell_length_c 8.374
_cell_angle_alpha 90.00
_cell_angle_beta 104.61
_cell_angle_gamma 90.00
loop_
_atom_site_label
_atom_site_type_symbol
_atom_site_fract_x
_atom_site_fract_y
_atom_site_fract_z
_atom_site_occupancy
K1 K 0.070 0.229 0.035 1
K2 K 0.333 0.678 0.996 1
Ge1 Ge 0.353 0.110 0.892 1
Se1 Se 0.139 0.549 0.262 1
Se2 Se 0.436 0.008 0.192 1


Q:
# K2GeSe2 (PBE-GGA, optimized geometry)
# total moment = 0.00 μB/f.u.
data_K2GeSe2
_chemical_formula_sum 'K4 Ge2 Se4'
_space_group_name_H-M_alt 'P 4/m b m'
_space_group_IT_number 127
_space_group_name_Hall '-P 4 2ab'
_cell_length_a 7.816
_cell_length_b 7.816
_cell_length_c 4.808
_cell_angle_alpha 90.00
_cell_angle_beta 90.00
_cell_angle_gamma 90.00
loop_
_atom_site_label
_atom_site_type_symbol
_atom_site_fract_x
_atom_site_fract_y
_atom_site_fract_z
_atom_site_occupancy
K1 K 0.139 0.361 0.000 1
Ge1 Ge 0.000 0.000 0.500 1
Se1 Se 0.178 0.678 0.500 1


Which of them is most stable, and which least? Most stable: P; least stable: Q.


P:
# K2GeSe4 (PBE-GGA, optimized geometry)
# total moment = 0.00 μB/f.u.
data_K2GeSe4
_chemical_formula_sum 'K4 Ge2 Se8'
_space_group_name_H-M_alt 'I 4/m m m'
_space_group_IT_number 139
_space_group_name_Hall '-I 4 2'
_cell_length_a 5.250
_cell_length_b 5.250
_cell_length_c 16.154
_cell_angle_alpha 90.00
_cell_angle_beta 90.00
_cell_angle_gamma 90.00
loop_
_atom_site_label
_atom_site_type_symbol
_atom_site_fract_x
_atom_site_fract_y
_atom_site_fract_z
_atom_site_occupancy
K1 K 0.000 0.000 0.139 1
Ge1 Ge 0.000 0.000 0.500 1
Se1 Se 0.000 0.000 0.352 1
Se2 Se 0.000 0.500 0.000 1


Q:
# K2GeSe4 (PBE-GGA, optimized geometry)
# total moment = 0.00 μB/f.u.
data_K2GeSe4
_chemical_formula_sum 'K8 Ge4 Se16'
_space_group_name_H-M_alt 'P 1 21/c 1'
_space_group_IT_number 14
_space_group_name_Hall '-P 2ybc'
_cell_length_a 12.179
_cell_length_b 8.406
_cell_length_c 9.258
_cell_angle_alpha 90.00
_cell_angle_beta 105.86
_cell_angle_gamma 90.00
loop_
_atom_site_label
_atom_site_type_symbol
_atom_site_fract_x
_atom_site_fract_y
_atom_site_fract_z
_atom_site_occupancy
K1 K 0.045 0.077 0.227 1
K2 K 0.342 0.088 0.694 1
Ge1 Ge 0.257 0.638 0.545 1
Se1 Se 0.124 0.664 0.032 1
Se2 Se 0.200 0.122 0.966 1
Se3 Se 0.359 0.552 0.800 1
Se4 Se 0.421 0.719 0.452 1


Which of them is most stable, and which least? Most stable: Q; least stable: P.


P:
# KSi3Ge (PBE-GGA, optimized geometry)
# total moment = 0.00 μB/f.u.
data_KSi3Ge
_chemical_formula_sum 'K1 Si3 Ge1'
_space_group_name_H-M_alt 'P m -3 m'
_space_group_IT_number 221
_space_group_name_Hall '-P 4 2 3'
_cell_length_a 5.316
_cell_length_b 5.316
_cell_length_c 5.316
_cell_angle_alpha 90.00
_cell_angle_beta 90.00
_cell_angle_gamma 90.00
loop_
_atom_site_label
_atom_site_type_symbol
_atom_site_fract_x
_atom_site_fract_y
_atom_site_fract_z
_atom_site_occupancy
K1 K 0.000 0.000 0.000 1
Si1 Si 0.000 0.000 0.500 1
Ge1 Ge 0.500 0.500 0.500 1


Q:
# KSi3Ge (PBE-GGA, optimized geometry)
# total moment = 0.00 μB/f.u.
data_KSi3Ge
_chemical_formula_sum 'K1 Si3 Ge1'
_space_group_name_H-M_alt 'P m -3 m'
_space_group_IT_number 221
_space_group_name_Hall '-P 4 2 3'
_cell_length_a 4.997
_cell_length_b 4.997
_cell_length_c 4.997
_cell_angle_alpha 90.00
_cell_angle_beta 90.00
_cell_angle_gamma 90.00
loop_
_atom_site_label
_atom_site_type_symbol
_atom_site_fract_x
_atom_site_fract_y
_atom_site_fract_z
_atom_site_occupancy
K1 K 0.000 0.000 0.000 1
Si1 Si 0.000 0.500 0.500 1
Ge1 Ge 0.500 0.500 0.500 1


Which of them is most stable, and which least? Most stable: Q; least stable: P.